1.
! PBE Ba2Cd3Pb, relaxed; values from VASP
! Space-group type: Fmmm (69)
&SYSTEM
  ibrav = 0, nat = 12, ntyp = 3
/
ATOMIC_SPECIES
Ba 137.33 Ba.upf
Cd 112.41 Cd.upf
Pb 207.20 Pb.upf
ATOMIC_POSITIONS crystal
Ba 0.245 0.755 0.755
Ba 0.250 0.250 0.250
Ba 0.750 0.750 0.750
Ba 0.755 0.245 0.245
Cd 0.165 0.165 0.835
Cd 0.166 0.670 0.330
Cd 0.330 0.834 0.166
Cd 0.670 0.166 0.834
Cd 0.834 0.330 0.670
Cd 0.835 0.835 0.165
Pb 0.335 0.335 0.665
Pb 0.665 0.665 0.335
CELL_PARAMETERS angstrom
0.000 5.258 9.092
4.325 0.000 9.092
4.325 5.258 0.000

=====

2.
! PBE Rb3Li2H4, relaxed; values from VASP
! Space-group type: C2/m (12)
&SYSTEM
  ibrav = 0, nat = 9, ntyp = 3
/
ATOMIC_SPECIES
Rb 85.47 Rb.upf
Li 6.94 Li.upf
H 1.01 H.upf
ATOMIC_POSITIONS crystal
Rb 0.000 0.000 0.000
Rb 0.335 0.335 0.403
Rb 0.665 0.665 0.597
Li 0.303 0.303 0.966
Li 0.697 0.697 0.034
H 0.179 0.179 0.946
H 0.327 0.327 0.763
H 0.673 0.673 0.237
H 0.821 0.821 0.054
CELL_PARAMETERS angstrom
7.848 -1.951 0.000
7.848 1.951 0.000
-3.823 0.000 7.103

=====

3.
! PBE CuRe2Si, relaxed; values from VASP
! Uncorrected formation energy, eV per atom: 0.31
! Space-group type: Cmmm (65)
&SYSTEM
  ibrav = 0, nat = 4, ntyp = 3
/
ATOMIC_SPECIES
Cu 63.55 Cu.upf
Re 186.21 Re.upf
Si 28.09 Si.upf
ATOMIC_POSITIONS crystal
Cu 0.000 0.000 0.000
Re 0.500 0.500 0.263
Re 0.500 0.500 0.737
Si 0.000 0.000 0.500
CELL_PARAMETERS angstrom
1.513 -2.229 0.000
1.513 2.229 0.000
0.000 0.000 8.318

=====

4.
! PBE NaTe4Pd2, relaxed; values from VASP
! Uncorrected formation energy, eV per atom: -0.37
! Offset from the most stable computed form, meV per atom: 0
! Space-group type: P2/m (10)
&SYSTEM
  ibrav = 0, nat = 7, ntyp = 3
/
ATOMIC_SPECIES
Na 22.99 Na.upf
Te 127.60 Te.upf
Pd 106.42 Pd.upf
ATOMIC_POSITIONS crystal
Na 0.000 0.000 0.000
Te 0.169 0.500 0.692
Te 0.335 0.000 0.306
Te 0.665 0.000 0.694
Te 0.831 0.500 0.308
Pd 0.000 0.000 0.500
Pd 0.500 0.500 0.500
CELL_PARAMETERS angstrom
7.021 0.000 0.000
0.000 4.064 0.000
-0.032 0.000 7.272

=====

5.
! PBE Dy3Al2Zn7, relaxed; values from VASP
! Space-group type: I4/mmm (139)
&SYSTEM
  ibrav = 0, nat = 12, ntyp = 3
/
ATOMIC_SPECIES
Dy 162.50 Dy.upf
Al 26.98 Al.upf
Zn 65.41 Zn.upf
ATOMIC_POSITIONS crystal
Dy 0.000 0.000 0.000
Dy 0.165 0.165 0.000
Dy 0.835 0.835 0.000
Al 0.366 0.366 0.000
Al 0.634 0.634 0.000
Zn 0.078 0.578 0.500
Zn 0.275 0.275 0.000
Zn 0.422 0.922 0.500
Zn 0.500 0.500 0.000
Zn 0.578 0.078 0.500
Zn 0.725 0.725 0.000
Zn 0.922 0.422 0.500
CELL_PARAMETERS angstrom
-2.084 2.084 13.842
2.084 -2.084 13.842
2.084 2.084 -13.842

=====

6.
! PBE Pr2FeGe4Ir3, relaxed; values from VASP
! Space-group type: P-4m2 (115)
&SYSTEM
  ibrav = 0, nat = 10, ntyp = 4
/
ATOMIC_SPECIES
Pr 140.91 Pr.upf
Fe 55.84 Fe.upf
Ge 72.64 Ge.upf
Ir 192.22 Ir.upf
ATOMIC_POSITIONS crystal
Pr 0.000 0.500 0.249
Pr 0.500 0.000 0.751
Fe 0.500 0.500 0.000
Ge 0.000 0.000 0.500
Ge 0.000 0.500 0.877
Ge 0.500 0.000 0.123
Ge 0.500 0.500 0.500
Ir 0.000 0.000 0.000
Ir 0.000 0.500 0.628
Ir 0.500 0.000 0.372
CELL_PARAMETERS angstrom
4.294 0.000 0.000
0.000 4.294 0.000
0.000 0.000 10.026

=====

Record order is preserved below.
Raw total energy: -2.1064 -2.3889 -8.2968 -3.8395 -2.7074 -6.9636 eV/atom